(1)
This record from Alexandria via LeMat-Bulk describes crystalline Li2CuIr at its relaxed geometry. The functional is PBE-GGA.

Cell: 4.8118 4.8118 2.5166 Å, 90.00 90.00 114.61°
Fractional positions:
Li1 0.0000 0.0000 0.0000
Li2 0.5000 0.5000 0.0000
Cu1 0.5000 0.0000 0.5000
Ir1 0.0000 0.5000 0.5000

The formation energy is -0.0795 eV per atom. As for the calculated density: 8.452 Mg/m³. The value obtained for the energy relative to the lowest polymorph listed for this composition is 37 meV/atom. The calculation puts the total energy at -4.28 eV per atom. As for the density of states at the Fermi level: 1.10 states/eV per cell.

---

(2)
This record from Alexandria via LeMat-Bulk describes crystalline LiCuIr2 at its relaxed geometry. The functional is PBE-GGA.

Cell: 4.4073 2.6821 4.5654 Å, 90.00 90.00 90.00°
Fractional positions:
Ir1 0.5000 0.3749 0.1908
Ir2 0.0000 0.8750 0.0581
Li1 0.0000 0.3753 0.5604
Cu1 0.5000 0.8749 0.6907

The formation energy is -0.0970 eV per atom. As for the calculated density: 13.998 Mg/m³. The calculation puts the total energy at -6.03 eV per atom. As for the density of states at the Fermi level: 3.31 states/eV per cell.

---

> Among the records above, which one has the lowest calculated density?

Li2CuIr